# 1
Below is a geometry-optimized TaIn2Rh structure, with properties calculated at the PBEsol level.

```
data_TaIn2Rh
_chemical_formula_sum 'Ta1 In2 Rh1'
_cell_length_a 4.8290
_cell_length_b 4.8290
_cell_length_c 3.0384
_cell_angle_alpha 90.00
_cell_angle_beta 90.00
_cell_angle_gamma 90.00
_symmetry_space_group_name_H-M 'P 4/m m m'
_symmetry_Int_Tables_number 123
_symmetry_space_group_name_Hall '-P 4 2'
loop_
_atom_site_label
_atom_site_type_symbol
_atom_site_fract_x
_atom_site_fract_y
_atom_site_fract_z
Ta1 Ta 0.0000 0.0000 0.0000
In1 In 0.0000 0.5000 0.5000
Rh1 Rh 0.5000 0.5000 0.0000
```

Calculated values
- energy relative to the elements (eV/atom) = 0.065
- VASP energy (eV/atom) = -6.599



# 2
Below is a geometry-optimized CrAgAs2F structure, with properties calculated at the PBEsol level.

```
data_CrAgAs2F
_chemical_formula_sum 'Cr1 Ag1 As2 F1'
_cell_length_a 4.9291
_cell_length_b 4.9291
_cell_length_c 4.0468
_cell_angle_alpha 90.00
_cell_angle_beta 90.00
_cell_angle_gamma 90.00
_symmetry_space_group_name_H-M 'P 4/m m m'
_symmetry_Int_Tables_number 123
_symmetry_space_group_name_Hall '-P 4 2'
loop_
_atom_site_label
_atom_site_type_symbol
_atom_site_fract_x
_atom_site_fract_y
_atom_site_fract_z
Cr1 Cr 0.0000 0.0000 0.0000
Ag1 Ag 0.5000 0.5000 0.5000
As1 As 0.0000 0.5000 0.5000
F1 F 0.5000 0.5000 0.0000
```

Calculated values
- uncorrected formation energy (kJ/mol of atoms) = 42.7
- VASP energy (eV/atom) = -4.696



# 3
Below is a geometry-optimized Ta6TiTl2O18 structure, with properties calculated at the PBEsol level.

```
data_Ta6TiTl2O18
_chemical_formula_sum 'Ta6 Ti1 Tl2 O18'
_cell_length_a 7.5447
_cell_length_b 7.5447
_cell_length_c 8.2764
_cell_angle_alpha 90.00
_cell_angle_beta 90.00
_cell_angle_gamma 120.00
_symmetry_space_group_name_H-M 'P -3 m 1'
_symmetry_Int_Tables_number 164
_symmetry_space_group_name_Hall '-P 3 2"'
loop_
_atom_site_label
_atom_site_type_symbol
_atom_site_fract_x
_atom_site_fract_y
_atom_site_fract_z
Ta1 Ta 0.1672 0.3343 0.1528
Ti1 Ti 0.0000 0.0000 0.5000
Tl1 Tl 0.3333 0.6667 0.7237
O1 O 0.1003 0.5501 0.1596
O2 O 0.1209 0.2417 0.3626
O3 O 0.1421 0.2842 0.8988
```

Calculated values
- uncorrected formation energy (kJ/mol of atoms) = -255.6
- VASP energy (eV/atom) = -9.441